--- w ---
Material: ReOsNO
Method: DFT, PBE
State: relaxed

Lattice parameters (Å, degrees): 2.752 5.872 5.602 90.00 90.00 90.00
Space group Pmc2_1 (No. 26)
Inequivalent atoms, fractional coordinates:
Re 0.000 0.119 0.000 [2 per cell]
Os 0.500 0.269 0.391 [2 per cell]
N 0.000 0.189 0.649 [2 per cell]
O 0.500 0.390 0.041 [2 per cell]

ρ (g/cm3): 14.912
Size of the total moment (μB per atom): 0.0019

---

--- x ---
Material: ReOsNO
Method: DFT, PBE
State: relaxed

Lattice parameters (Å, degrees): 2.777 5.822 5.573 90.00 90.00 90.00
Space group Pmc2_1 (No. 26)
Inequivalent atoms, fractional coordinates:
Re 0.000 0.232 0.000 [2 per cell]
Os 0.500 0.383 0.389 [2 per cell]
N 0.500 0.308 0.743 [2 per cell]
O 0.000 0.095 0.347 [2 per cell]

ρ (g/cm3): 14.981
Size of the total moment (μB per atom): 0.0004

---

--- y ---
Material: ReOsNO
Method: DFT, PBE
State: relaxed

Lattice parameters (Å, degrees): 3.826 3.826 5.978 90.00 90.00 90.00
Space group P4/nmm (No. 129, origin choice 2)
Inequivalent atoms, fractional coordinates:
Re 0.250 0.750 0.000 [2 per cell]
Os 0.250 0.250 0.344 [2 per cell]
N 0.250 0.250 0.856 [2 per cell]
O 0.250 0.750 0.500 [2 per cell]

ρ (g/cm3): 15.423
Size of the total moment (μB per atom): 0.0011

---

--- z ---
Material: ReOsNO
Method: DFT, PBE
State: relaxed

Lattice parameters (Å, degrees): 3.774 3.774 6.095 90.00 90.00 90.00
Space group P4/nmm (No. 129, origin choice 2)
Inequivalent atoms, fractional coordinates:
Re 0.250 0.250 0.163 [2 per cell]
Os 0.250 0.750 0.500 [2 per cell]
N 0.250 0.250 0.669 [2 per cell]
O 0.250 0.750 0.000 [2 per cell]

ρ (g/cm3): 15.552
Size of the total moment (μB per atom): 0.2491

---

Which is the most stable structure? w is the most stable.

---

--- w ---
Material: ReOsNO
Method: DFT, PBE
State: relaxed

Lattice parameters (Å, degrees): 5.622 6.844 4.908 90.00 90.00 90.00
Space group Pca2_1 (No. 29)
Inequivalent atoms, fractional coordinates:
Re 0.117 0.002 0.000 [4 per cell]
Os 0.140 0.676 0.336 [4 per cell]
N 0.127 0.172 0.663 [4 per cell]
O 0.115 0.502 0.004 [4 per cell]

ρ (g/cm3): 14.295
Size of the total moment (μB per atom): 0.0003

---

--- x ---
Material: ReOsNO
Method: DFT, PBE
State: relaxed

Lattice parameters (Å, degrees): 5.368 7.177 4.903 90.00 90.00 90.00
Space group Pca2_1 (No. 29)
Inequivalent atoms, fractional coordinates:
Re 0.161 0.187 0.000 [4 per cell]
Os 0.020 0.569 0.856 [4 per cell]
N 0.150 0.665 0.483 [4 per cell]
O 0.109 0.012 0.670 [4 per cell]

ρ (g/cm3): 14.293
Size of the total moment (μB per atom): 0.0002

---

Which is the most stable structure? x is the most stable.

---

--- w ---
Material: SmOsNO
Method: DFT, PBE
State: relaxed

Lattice parameters (Å, degrees): 3.477 5.572 6.199 90.00 90.00 90.00
Space group Pmc2_1 (No. 26)
Inequivalent atoms, fractional coordinates:
Sm 0.000 0.215 0.000 [2 per cell]
Os 0.500 0.314 0.462 [2 per cell]
N 0.500 0.448 0.197 [2 per cell]
O 0.000 0.150 0.646 [2 per cell]

ρ (g/cm3): 10.250
Size of the total moment (μB per atom): 0.0008

---

--- x ---
Material: SmOsNO
Method: DFT, PBE
State: relaxed

Lattice parameters (Å, degrees): 3.838 3.838 7.792 90.00 90.00 90.00
Space group P4/nmm (No. 129, origin choice 2)
Inequivalent atoms, fractional coordinates:
Sm 0.250 0.250 0.155 [2 per cell]
Os 0.250 0.750 0.500 [2 per cell]
N 0.250 0.250 0.620 [2 per cell]
O 0.250 0.750 0.000 [2 per cell]

ρ (g/cm3): 10.723
Size of the total moment (μB per atom): 0.0001

---

Which is the most stable structure? x is the most stable.

---

--- w ---
Material: TeOsNO
Method: DFT, PBE
State: relaxed

Lattice parameters (Å, degrees): 6.160 7.139 5.017 90.00 90.00 90.00
Space group Pca2_1 (No. 29)
Inequivalent atoms, fractional coordinates:
Te 0.040 0.173 0.000 [4 per cell]
Os 0.162 0.670 0.969 [4 per cell]
N 0.018 0.110 0.572 [4 per cell]
O 0.138 0.481 0.670 [4 per cell]

ρ (g/cm3): 10.471
Size of the total moment (μB per atom): 0.0023

---

--- x ---
Material: TeOsNO
Method: DFT, PBE
State: relaxed

Lattice parameters (Å, degrees): 3.103 5.627 7.139 90.00 90.00 90.00
Space group Pmc2_1 (No. 26)
Inequivalent atoms, fractional coordinates:
Te 0.000 0.123 0.000 [2 per cell]
Os 0.500 0.489 0.657 [2 per cell]
N 0.000 0.302 0.725 [2 per cell]
O 0.500 0.377 0.402 [2 per cell]

ρ (g/cm3): 9.267
Size of the total moment (μB per atom): 0.0004

---

Which is the most stable structure? x is the most stable.

---

--- w ---
Material: TlOsNO
Method: DFT, PBE
State: relaxed

Lattice parameters (Å, degrees): 4.161 4.161 8.615 90.00 90.00 90.00
Space group P4/nmm (No. 129, origin choice 2)
Inequivalent atoms, fractional coordinates:
Tl 0.250 0.750 0.000 [2 per cell]
Os 0.250 0.250 0.420 [2 per cell]
N 0.250 0.250 0.221 [2 per cell]
O 0.250 0.750 0.500 [2 per cell]

ρ (g/cm3): 9.455
Size of the total moment (μB per atom): 0.0498

---

--- x ---
Material: TlOsNO
Method: DFT, PBE
State: relaxed

Lattice parameters (Å, degrees): 5.569 9.052 4.949 90.00 90.00 90.00
Space group Pca2_1 (No. 29)
Inequivalent atoms, fractional coordinates:
Tl 0.005 0.136 0.000 [4 per cell]
Os 0.027 0.564 0.998 [4 per cell]
N 0.142 0.610 0.621 [4 per cell]
O 0.075 0.234 0.516 [4 per cell]

ρ (g/cm3): 11.304
Size of the total moment (μB per atom): 0.0004

---

Which is the most stable structure? x is the most stable.

---

--- w ---
Material: TlOsNO
Method: DFT, PBE
State: relaxed

Lattice parameters (Å, degrees): 3.868 3.868 7.367 90.00 90.00 90.00
Space group P4/nmm (No. 129, origin choice 2)
Inequivalent atoms, fractional coordinates:
Tl 0.250 0.250 0.158 [2 per cell]
Os 0.250 0.750 0.500 [2 per cell]
N 0.250 0.250 0.617 [2 per cell]
O 0.250 0.750 0.000 [2 per cell]

ρ (g/cm3): 12.792
Size of the total moment (μB per atom): 0.0019

---

--- x ---
Material: TlOsNO
Method: DFT, PBE
State: relaxed

Lattice parameters (Å, degrees): 3.626 6.331 6.221 90.00 90.00 90.00
Space group Pmc2_1 (No. 26)
Inequivalent atoms, fractional coordinates:
Tl 0.000 0.143 0.000 [2 per cell]
Os 0.500 0.397 0.461 [2 per cell]
N 0.500 0.387 0.755 [2 per cell]
O 0.000 0.298 0.405 [2 per cell]

ρ (g/cm3): 9.876
Size of the total moment (μB per atom): 0.0005

---

--- y ---
Material: TlOsNO
Method: DFT, PBE
State: relaxed

Lattice parameters (Å, degrees): 3.230 6.459 6.379 90.00 90.00 90.00
Space group Pmc2_1 (No. 26)
Inequivalent atoms, fractional coordinates:
Tl 0.000 0.118 0.000 [2 per cell]
Os 0.500 0.432 0.445 [2 per cell]
N 0.000 0.308 0.367 [2 per cell]
O 0.500 0.341 0.734 [2 per cell]

ρ (g/cm3): 10.595
Size of the total moment (μB per atom): 0.0004

---

Which is the most stable structure? x is the most stable.

---

--- w ---
Material: ZnOsNO
Method: DFT, PBE
State: relaxed

Lattice parameters (Å, degrees): 2.840 6.354 5.060 90.00 90.00 90.00
Space group Pmc2_1 (No. 26)
Inequivalent atoms, fractional coordinates:
Zn 0.000 0.126 0.000 [2 per cell]
Os 0.500 0.415 0.519 [2 per cell]
N 0.500 0.300 0.156 [2 per cell]
O 0.000 0.176 0.609 [2 per cell]

ρ (g/cm3): 10.390
Size of the total moment (μB per atom): 0.0015

---

--- x ---
Material: ZnOsNO
Method: DFT, PBE
State: relaxed

Lattice parameters (Å, degrees): 3.442 3.442 7.100 90.00 90.00 90.00
Space group P4/nmm (No. 129, origin choice 2)
Inequivalent atoms, fractional coordinates:
Zn 0.250 0.750 0.000 [2 per cell]
Os 0.250 0.250 0.328 [2 per cell]
N 0.250 0.250 0.801 [2 per cell]
O 0.250 0.750 0.500 [2 per cell]

ρ (g/cm3): 11.275
Size of the total moment (μB per atom): 0.0042

---

--- y ---
Material: ZnOsNO
Method: DFT, PBE
State: relaxed

Lattice parameters (Å, degrees): 5.178 7.187 4.882 90.00 90.00 90.00
Space group Pca2_1 (No. 29)
Inequivalent atoms, fractional coordinates:
Zn 0.100 0.104 0.000 [4 per cell]
Os 0.090 0.567 0.018 [4 per cell]
N 0.066 0.672 0.636 [4 per cell]
O 0.032 0.144 0.605 [4 per cell]

ρ (g/cm3): 10.441
Size of the total moment (μB per atom): 0.0006

---

--- z ---
Material: ZnOsNO
Method: DFT, PBE
State: relaxed

Lattice parameters (Å, degrees): 2.852 6.331 4.940 90.00 90.00 90.00
Space group Pmc2_1 (No. 26)
Inequivalent atoms, fractional coordinates:
Zn 0.000 0.095 0.000 [2 per cell]
Os 0.500 0.420 0.554 [2 per cell]
N 0.000 0.200 0.622 [2 per cell]
O 0.500 0.276 0.163 [2 per cell]

ρ (g/cm3): 10.634
Size of the total moment (μB per atom): 0.0027

---

Which is the most stable structure? y is the most stable.